Entry from Alexandria: an optimized crystal structure of MgTl4 (GGA-PBE). Values from VASP.

```
&SYSTEM
  ibrav = 0, nat = 10, ntyp = 2
/
ATOMIC_SPECIES
Tl 204.38 Tl.upf
Mg 24.30 Mg.upf
ATOMIC_POSITIONS angstrom
Tl -4.1350 3.6705 5.4699
Tl 3.0396 0.9437 2.0268
Tl 0.5668 4.5678 2.0268
Tl -2.1555 0.4074 4.8594
Tl -0.7431 1.4511 1.4163
Tl 2.1555 -0.4074 4.8594
Tl 0.1760 2.8557 5.4699
Tl -3.2159 5.0751 1.4163
Mg -1.9795 3.2631 3.4431
Mg 1.8032 2.7558 0.0000
CELL_PARAMETERS angstrom
7.5654 -1.0147 0.0000
-3.9590 6.5262 0.0000
-1.8032 -2.7558 6.8862
```

Calculated values
- Spin magnetization: 0.00 μB per cell
- DFT formation energy: 0.093 eV per atom
- Crystal system: tetragonal
- Relative energy among the computed polymorphs: 68 meV/atom
- Symmetry: No. 141

Entry from Alexandria: an optimized crystal structure of NaV (GGA-PBE). Values from VASP.

```
&SYSTEM
  ibrav = 0, nat = 16, ntyp = 2
/
ATOMIC_SPECIES
V 50.94 V.upf
Na 22.99 Na.upf
ATOMIC_POSITIONS angstrom
V -7.2875 7.5987 -8.6701
V -3.7677 2.0034 -3.2006
V -7.0223 6.7241 -10.6811
V -3.1718 9.5239 -5.1618
V -3.8757 8.0508 -3.6740
V -7.1796 1.5514 -8.1967
V -1.7599 2.7977 -2.7347
V -5.6104 -0.0021 -8.2540
Na -2.9871 4.9232 -4.6509
Na -4.3600 2.2715 -6.5327
Na -4.4222 7.2503 -6.8831
Na -8.5148 9.7243 -10.5862
Na -5.7950 4.5986 -8.7649
Na -8.4300 -0.7222 -9.9180
Na -2.5405 -0.1221 -1.2845
Na -2.6253 10.3244 -1.9527
CELL_PARAMETERS angstrom
-1.5198 12.7736 -2.9005
-7.2624 -3.2518 -10.5153
-2.2731 0.0804 1.5451
```

Calculated values
- Spin magnetization: 0.00 μB per cell
- DFT formation energy: 1.025 eV per atom
- Crystal system: tetragonal
- Relative energy among the computed polymorphs: 537 meV/atom
- Symmetry: No. 87

Entry from Alexandria: an optimized crystal structure of PmPaGaRh (GGA-PBE). Values from VASP.

```
&SYSTEM
  ibrav = 0, nat = 4, ntyp = 4
/
ATOMIC_SPECIES
Pa 231.04 Pa.upf
Ga 69.72 Ga.upf
Pm 145.00 Pm.upf
Rh 102.91 Rh.upf
ATOMIC_POSITIONS angstrom
Pa 7.5227 4.3432 3.0711
Ga 0.0000 0.0000 0.0000
Pm 2.5076 1.4477 1.0237
Rh 5.0151 2.8955 2.0474
CELL_PARAMETERS angstrom
5.0151 0.0000 0.0000
2.5076 4.3432 0.0000
2.5076 1.4477 4.0948
```

Calculated values
- Spin magnetization: 0.00 μB per cell
- DFT formation energy: -0.346 eV per atom
- Crystal system: cubic
- Symmetry: No. 216

Entry from Alexandria: an optimized crystal structure of LiTlIBr2 (GGA-PBE). Values from VASP.

```
&SYSTEM
  ibrav = 0, nat = 5, ntyp = 4
/
ATOMIC_SPECIES
Li 6.94 Li.upf
I 126.90 I.upf
Br 79.90 Br.upf
Tl 204.38 Tl.upf
ATOMIC_POSITIONS angstrom
Li 0.0000 0.0000 0.0000
I -0.1079 2.8315 0.4714
Br -0.4936 -0.4408 2.5344
Br -2.5705 -0.0142 -0.5032
Tl -3.1721 2.3765 2.5026
CELL_PARAMETERS angstrom
-5.1411 -0.0284 -1.0063
-0.9873 -0.8815 5.0688
-0.2158 5.6630 0.9428
```

Calculated values
- Spin magnetization: 0.64 μB per cell
- Raw formation energy: -0.700 eV/atom
- Crystal system: tetragonal
- Symmetry: No. 123

Entry from Alexandria: an optimized crystal structure of RuPb2Se (GGA-PBE). Values from VASP.

```
&SYSTEM
  ibrav = 0, nat = 4, ntyp = 3
/
ATOMIC_SPECIES
Se 78.96 Se.upf
Ru 101.07 Ru.upf
Pb 207.20 Pb.upf
ATOMIC_POSITIONS angstrom
Se 22.1660 3.9601 2.3350
Ru 13.9673 2.4954 1.4714
Pb 0.0717 0.0128 0.0076
Pb 6.6553 1.1890 0.7011
CELL_PARAMETERS angstrom
9.9264 0.0327 0.0193
9.3236 3.4065 0.0193
9.3236 1.6657 2.9715
```

Calculated values
- Spin magnetization: 0.21 μB per cell
- Raw formation energy: 0.010 eV/atom
- Crystal system: trigonal
- Symmetry: No. 160

Entry from Alexandria: an optimized crystal structure of Dy5HoIn3 (GGA-PBE). Values from VASP.

```
&SYSTEM
  ibrav = 0, nat = 18, ntyp = 3
/
ATOMIC_SPECIES
Dy 162.50 Dy.upf
In 114.82 In.upf
Ho 164.93 Ho.upf
ATOMIC_POSITIONS angstrom
Dy 3.3598 0.0000 5.3890
Dy 5.0397 7.7782 2.6959
Dy 1.6799 6.2219 0.0000
Dy 0.0000 0.0000 5.3890
Dy 3.3598 4.6675 2.6945
Dy 0.0000 4.6675 2.6945
Dy 5.0397 3.1130 0.0000
Dy 5.0397 3.1107 5.3876
Dy 1.6799 -3.1107 5.3876
Dy 1.6799 1.5567 2.6959
In 1.6799 3.1145 5.3940
In 1.6799 3.1067 0.0000
In 5.0397 1.5530 2.6895
In 1.6799 7.7820 2.6895
In 5.0397 6.2283 0.0000
In 5.0397 -3.1145 5.3940
Ho 0.0000 0.0000 0.0000
Ho 3.3598 0.0000 0.0000
CELL_PARAMETERS angstrom
6.7197 0.0000 0.0000
0.0000 9.3349 0.0000
0.0000 -4.6675 8.0835
```

Calculated values
- Spin magnetization: 0.08 μB per cell
- DFT formation energy: -0.354 eV per atom
- Crystal system: hexagonal
- Symmetry: No. 193

Q: Look up the spin magnetization of the second one.
A: 0.00 μB per cell

Q: Which of these has the highest spin magnetization?
A: LiTlIBr2